1.
Compound: InCo3Mo
Source: Alexandria
Functional: GGA-PBEsol
Structure: relaxed Values from VASP.

Quantum ESPRESSO input file:
```
&SYSTEM
  ibrav = 0, nat = 5, ntyp = 3
/
ATOMIC_SPECIES
Co 58.93 Co.upf
In 114.82 In.upf
Mo 95.94 Mo.upf
ATOMIC_POSITIONS crystal
Co 0.000 0.000 0.500
Co 0.000 0.500 0.000
Co 0.500 0.000 0.000
In 0.500 0.500 0.500
Mo 0.000 0.000 0.000
CELL_PARAMETERS angstrom
4.350 0.000 0.000
0.000 4.350 0.000
0.000 0.000 4.350
```

crystal system = cubic
final energy = -6.319 eV/atom

=====

2.
Compound: AlCo2W
Source: Alexandria
Functional: GGA-PBEsol
Structure: relaxed Values from VASP.

Quantum ESPRESSO input file:
```
&SYSTEM
  ibrav = 0, nat = 4, ntyp = 3
/
ATOMIC_SPECIES
Co 58.93 Co.upf
W 183.84 W.upf
Al 26.98 Al.upf
ATOMIC_POSITIONS crystal
Co 0.000 0.000 0.731
Co 0.000 0.000 0.269
W 0.500 0.500 0.000
Al 0.500 0.500 0.500
CELL_PARAMETERS angstrom
2.699 0.000 0.000
0.000 2.699 0.000
0.000 0.000 6.552
```

crystal system = tetragonal
final energy = -8.663 eV/atom

=====

3.
Compound: TcAs2
Source: Alexandria
Functional: GGA-PBEsol
Structure: relaxed Values from VASP.

Quantum ESPRESSO input file:
```
&SYSTEM
  ibrav = 0, nat = 3, ntyp = 2
/
ATOMIC_SPECIES
As 74.92 As.upf
Tc 98.00 Tc.upf
ATOMIC_POSITIONS crystal
As 0.000 0.333 0.667
As 0.000 0.667 0.333
Tc 0.000 0.000 0.000
CELL_PARAMETERS angstrom
-0.488 1.604 2.007
2.280 -2.863 2.841
2.272 3.406 -2.170
```

crystal system = hexagonal
final energy = -6.934 eV/atom

=====

Quick rundown of spin magnetization, same order as above: 0.000 0.000 0.000 μB per atom